(1)
{
  "formula": "HfTaTiNb",
  "functional": "PBE-GGA",
  "state": "optimized geometry",
  "magmom_total_mub_per_fu": 0.89,
  "sg": "F-43m, No. 216",
  "dos_ef_per_ev_cell": 8.0,
  "formation_energy_ev_per_atom": 0.08,
  "cell": [[0.000, 3.352, 3.352], [3.352, 0.000, 3.352], [3.352, 3.352, 0.000]],
  "species": ["Hf", "Ta", "Ti", "Nb"],
  "fractional_positions": [[0.000, 0.000, 0.000], [0.500, 0.500, 0.500], [0.250, 0.250, 0.250], [0.750, 0.750, 0.750]]
}


(2)
{
  "formula": "Ta2Ti5Fe2Re",
  "functional": "PBE-GGA",
  "state": "optimized geometry",
  "magmom_total_mub_per_fu": 0.00,
  "sg": "P4/mbm, No. 127",
  "dos_ef_per_ev_cell": 24.3,
  "formation_energy_ev_per_atom": -0.11,
  "cell": [[10.065, 0.000, 0.000], [0.000, 10.065, 0.000], [0.000, 0.000, 3.099]],
  "species": ["Ta", "Ta", "Ta", "Ta", "Ti", "Ti", "Ti", "Ti", "Ti", "Ti", "Ti", "Ti", "Ti", "Ti", "Fe", "Fe", "Fe", "Fe", "Re", "Re"],
  "fractional_positions": [[0.180, 0.320, 0.000], [0.320, 0.820, 0.000], [0.680, 0.180, 0.000], [0.820, 0.680, 0.000], [0.000, 0.500, 0.500], [0.056, 0.796, 0.500], [0.204, 0.056, 0.500], [0.296, 0.556, 0.500], [0.444, 0.296, 0.500], [0.500, 0.000, 0.500], [0.556, 0.704, 0.500], [0.704, 0.444, 0.500], [0.796, 0.944, 0.500], [0.944, 0.204, 0.500], [0.126, 0.626, 0.000], [0.374, 0.126, 0.000], [0.626, 0.874, 0.000], [0.874, 0.374, 0.000], [0.000, 0.000, 0.000], [0.500, 0.500, 0.000]]
}


(3)
{
  "formula": "LaIn2CoHg",
  "functional": "PBE-GGA",
  "state": "optimized geometry",
  "magmom_total_mub_per_fu": 0.00,
  "sg": "P4/mmm, No. 123",
  "dos_ef_per_ev_cell": 1.0,
  "formation_energy_ev_per_atom": -0.18,
  "cell": [[4.922, 0.000, 0.000], [0.000, 4.922, 0.000], [0.000, 0.000, 5.060]],
  "species": ["La", "In", "In", "Co", "Hg"],
  "fractional_positions": [[0.000, 0.000, 0.000], [0.000, 0.500, 0.500], [0.500, 0.000, 0.500], [0.500, 0.500, 0.500], [0.500, 0.500, 0.000]]
}


(4)
{
  "formula": "Sm3Y5Th2",
  "functional": "PBE-GGA",
  "state": "optimized geometry",
  "magmom_total_mub_per_fu": 0.00,
  "sg": "C2/c, No. 15",
  "dos_ef_per_ev_cell": 29.4,
  "formation_energy_ev_per_atom": 0.20,
  "cell": [[5.410, -8.651, 0.000], [5.410, 8.651, 0.000], [-5.398, 0.000, 7.166]],
  "species": ["Sm", "Sm", "Sm", "Sm", "Sm", "Sm", "Y", "Y", "Y", "Y", "Y", "Y", "Y", "Y", "Y", "Y", "Th", "Th", "Th", "Th"],
  "fractional_positions": [[0.020, 0.269, 0.039], [0.221, 0.779, 0.750], [0.269, 0.020, 0.539], [0.731, 0.980, 0.461], [0.779, 0.221, 0.250], [0.980, 0.731, 0.961], [0.030, 0.970, 0.750], [0.129, 0.370, 0.751], [0.279, 0.721, 0.250], [0.370, 0.129, 0.251], [0.468, 0.532, 0.250], [0.532, 0.468, 0.750], [0.630, 0.871, 0.749], [0.721, 0.279, 0.750], [0.871, 0.630, 0.249], [0.970, 0.030, 0.250], [0.238, 0.486, 0.475], [0.486, 0.238, 0.975], [0.514, 0.762, 0.025], [0.762, 0.514, 0.525]]
}


(5)
{
  "formula": "Pr2Sb3Pd4Au",
  "functional": "PBE-GGA",
  "state": "optimized geometry",
  "magmom_total_mub_per_fu": 0.00,
  "raw_formation_energy_ev_per_atom": -0.787,
  "sg": "P-4m2, No. 115",
  "dos_ef_per_ev_cell": 4.7,
  "cell": [[4.564, 0.000, 0.000], [0.000, 4.564, 0.000], [0.000, 0.000, 10.745]],
  "species": ["Pr", "Pr", "Sb", "Sb", "Sb", "Pd", "Pd", "Pd", "Pd", "Au"],
  "fractional_positions": [[0.000, 0.500, 0.247], [0.500, 0.000, 0.753], [0.000, 0.500, 0.868], [0.500, 0.000, 0.132], [0.500, 0.500, 0.500], [0.000, 0.000, 0.000], [0.000, 0.500, 0.630], [0.500, 0.000, 0.370], [0.500, 0.500, 0.000], [0.000, 0.000, 0.500]]
}


(6)
{
  "formula": "PrSeBr",
  "functional": "PBE-GGA",
  "state": "optimized geometry",
  "magmom_total_mub_per_fu": 0.00,
  "raw_formation_energy_ev_per_atom": -1.777,
  "sg": "F-43m, No. 216",
  "dos_ef_per_ev_cell": 0.0,
  "cell": [[0.000, 3.584, 3.584], [3.584, 0.000, 3.584], [3.584, 3.584, 0.000]],
  "species": ["Pr", "Se", "Br"],
  "fractional_positions": [[0.000, 0.000, 0.000], [0.750, 0.750, 0.750], [0.250, 0.250, 0.250]]
}


(7)
{
  "formula": "ZnGeAsIrAu",
  "functional": "PBE-GGA",
  "state": "optimized geometry",
  "magmom_total_mub_per_fu": 0.00,
  "sg": "P1, No. 1",
  "dos_ef_per_ev_cell": 2.4,
  "formation_energy_ev_per_atom": 0.01,
  "cell": [[3.841, 0.000, 0.000], [-0.521, 4.750, 0.000], [-0.185, -1.198, 5.354]],
  "species": ["Zn", "Ge", "As", "Ir", "Au"],
  "fractional_positions": [[0.000, 0.000, 0.000], [0.526, 0.508, 0.094], [0.080, 0.060, 0.476], [0.008, 0.455, 0.824], [0.539, 0.723, 0.569]]
}


(8)
{
  "formula": "TaZnIn",
  "functional": "PBE-GGA",
  "state": "optimized geometry",
  "magmom_total_mub_per_fu": 0.00,
  "sg": "C2/m, No. 12",
  "dos_ef_per_ev_cell": 1.5,
  "formation_energy_ev_per_atom": 0.14,
  "cell": [[7.166, -1.522, 0.000], [7.166, 1.522, 0.000], [-0.713, 0.000, 5.164]],
  "species": ["Ta", "Ta", "Zn", "Zn", "In", "In"],
  "fractional_positions": [[0.249, 0.249, 0.255], [0.751, 0.751, 0.745], [0.409, 0.409, 0.649], [0.591, 0.591, 0.351], [0.079, 0.079, 0.834], [0.921, 0.921, 0.166]]
}


(9)
{
  "formula": "La12Pm3Zn",
  "functional": "PBE-GGA",
  "state": "optimized geometry",
  "magmom_total_mub_per_fu": 0.00,
  "sg": "P4/mmm, No. 123",
  "dos_ef_per_ev_cell": 23.8,
  "formation_energy_ev_per_atom": 0.00,
  "cell": [[5.168, 0.000, 0.000], [0.000, 5.168, 0.000], [0.000, 0.000, 20.826]],
  "species": ["La", "La", "La", "La", "La", "La", "La", "La", "La", "La", "La", "La", "Pm", "Pm", "Pm", "Zn"],
  "fractional_positions": [[0.000, 0.000, 0.000], [0.000, 0.000, 0.244], [0.000, 0.000, 0.500], [0.000, 0.000, 0.756], [0.000, 0.500, 0.118], [0.000, 0.500, 0.372], [0.000, 0.500, 0.628], [0.000, 0.500, 0.882], [0.500, 0.000, 0.118], [0.500, 0.000, 0.372], [0.500, 0.000, 0.628], [0.500, 0.000, 0.882], [0.500, 0.500, 0.244], [0.500, 0.500, 0.500], [0.500, 0.500, 0.756], [0.500, 0.500, 0.000]]
}


(10)
{
  "formula": "Mg2CuNi2",
  "functional": "PBE-GGA",
  "state": "optimized geometry",
  "magmom_total_mub_per_fu": 0.00,
  "sg": "P4/mbm, No. 127",
  "dos_ef_per_ev_cell": 5.2,
  "formation_energy_ev_per_atom": 0.13,
  "cell": [[7.151, 0.000, 0.000], [0.000, 7.151, 0.000], [0.000, 0.000, 2.827]],
  "species": ["Mg", "Mg", "Mg", "Mg", "Cu", "Cu", "Ni", "Ni", "Ni", "Ni"],
  "fractional_positions": [[0.149, 0.351, 0.000], [0.351, 0.851, 0.000], [0.649, 0.149, 0.000], [0.851, 0.649, 0.000], [0.000, 0.000, 0.000], [0.500, 0.500, 0.000], [0.148, 0.648, 0.500], [0.352, 0.148, 0.500], [0.648, 0.852, 0.500], [0.852, 0.352, 0.500]]
}


(11)
{
  "formula": "SrYMg2Au4",
  "functional": "PBE-GGA",
  "state": "optimized geometry",
  "magmom_total_mub_per_fu": 0.00,
  "sg": "R-3m, No. 166",
  "dos_ef_per_ev_cell": 5.2,
  "formation_energy_ev_per_atom": -0.70,
  "cell": [[2.366, 1.366, 9.565], [-2.366, 1.366, 9.565], [0.000, -2.732, 9.565]],
  "species": ["Sr", "Y", "Mg", "Mg", "Au", "Au", "Au", "Au"],
  "fractional_positions": [[0.000, 0.000, 0.000], [0.500, 0.500, 0.500], [0.243, 0.243, 0.243], [0.757, 0.757, 0.757], [0.117, 0.117, 0.117], [0.397, 0.397, 0.397], [0.603, 0.603, 0.603], [0.883, 0.883, 0.883]]
}


(12)
{
  "formula": "LaNiRh2",
  "functional": "PBE-GGA",
  "state": "optimized geometry",
  "magmom_total_mub_per_fu": 0.00,
  "sg": "C2/m, No. 12",
  "dos_ef_per_ev_cell": 4.3,
  "formation_energy_ev_per_atom": -0.09,
  "cell": [[2.789, -4.659, 0.000], [2.789, 4.659, 0.000], [-1.496, 0.000, 2.638]],
  "species": ["La", "Ni", "Rh", "Rh"],
  "fractional_positions": [[0.000, 0.000, 0.000], [0.500, 0.500, 0.000], [0.000, 0.500, 0.500], [0.500, 0.000, 0.500]]
}


Question: What is the formula in the ninth record?
Answer: La12Pm3Zn


Copy entry 10 word for word.
{
  "formula": "Mg2CuNi2",
  "functional": "PBE-GGA",
  "state": "optimized geometry",
  "magmom_total_mub_per_fu": 0.00,
  "sg": "P4/mbm, No. 127",
  "dos_ef_per_ev_cell": 5.2,
  "formation_energy_ev_per_atom": 0.13,
  "cell": [[7.151, 0.000, 0.000], [0.000, 7.151, 0.000], [0.000, 0.000, 2.827]],
  "species": ["Mg", "Mg", "Mg", "Mg", "Cu", "Cu", "Ni", "Ni", "Ni", "Ni"],
  "fractional_positions": [[0.149, 0.351, 0.000], [0.351, 0.851, 0.000], [0.649, 0.149, 0.000], [0.851, 0.649, 0.000], [0.000, 0.000, 0.000], [0.500, 0.500, 0.000], [0.148, 0.648, 0.500], [0.352, 0.148, 0.500], [0.648, 0.852, 0.500], [0.852, 0.352, 0.500]]
}